(1)
Crystalline Tm2CuSi2Ir5 at its relaxed geometry. Source: Alexandria via LeMat-Bulk, functional PBE. Values from VASP.

Quantum ESPRESSO input file:
```
&SYSTEM
  ibrav = 0, nat = 20, ntyp = 4
/
ATOMIC_SPECIES
Tm 168.93 Tm.upf
Cu 63.55 Cu.upf
Si 28.09 Si.upf
Ir 192.22 Ir.upf
CELL_PARAMETERS angstrom
9.578 0.000 0.000
0.000 9.578 0.000
0.000 0.000 3.473
ATOMIC_POSITIONS crystal
Tm 0.174 0.326 0.000
Tm 0.326 0.826 0.000
Tm 0.674 0.174 0.000
Tm 0.826 0.674 0.000
Cu 0.000 0.000 0.000
Cu 0.500 0.500 0.000
Si 0.127 0.627 0.000
Si 0.373 0.127 0.000
Si 0.627 0.873 0.000
Si 0.873 0.373 0.000
Ir 0.000 0.500 0.500
Ir 0.066 0.793 0.500
Ir 0.207 0.066 0.500
Ir 0.293 0.566 0.500
Ir 0.434 0.293 0.500
Ir 0.500 0.000 0.500
Ir 0.566 0.707 0.500
Ir 0.707 0.434 0.500
Ir 0.793 0.934 0.500
Ir 0.934 0.207 0.500
```

Calculated values
* mass density: 14.8 g/cm3
* uncorrected formation energy: -0.754 eV/atom
* SG: P4/mbm, No. 127
* spin magnetization: 0.000 μB per atom
* total energy: -7.573 eV per atom

---

(2)
Crystalline TiCrS4 at its relaxed geometry. Source: Alexandria via LeMat-Bulk, functional PBE. Values from VASP.

Quantum ESPRESSO input file:
```
&SYSTEM
  ibrav = 0, nat = 6, ntyp = 3
/
ATOMIC_SPECIES
Ti 47.87 Ti.upf
Cr 52.00 Cr.upf
S 32.06 S.upf
CELL_PARAMETERS angstrom
5.667 0.000 0.000
0.000 3.369 0.000
-1.922 0.000 6.566
ATOMIC_POSITIONS crystal
Ti 0.000 0.000 0.000
Cr 0.500 0.500 0.000
S 0.244 0.500 0.220
S 0.272 0.000 0.787
S 0.728 0.000 0.213
S 0.756 0.500 0.780
```

Calculated values
* mass density: 3.0 g/cm3
* uncorrected formation energy: -0.911 eV/atom
* SG: P2/m, No. 10
* spin magnetization: 0.349 μB per atom
* total energy: -6.582 eV per atom
* E above lowest polymorph: 0.00 eV per formula unit

---

(3)
Crystalline Al2RhBr at its relaxed geometry. Source: Alexandria via LeMat-Bulk, functional PBE. Values from VASP.

Quantum ESPRESSO input file:
```
&SYSTEM
  ibrav = 0, nat = 12, ntyp = 3
/
ATOMIC_SPECIES
Al 26.98 Al.upf
Rh 102.91 Rh.upf
Br 79.90 Br.upf
CELL_PARAMETERS angstrom
3.292 0.000 0.000
-1.646 2.851 0.000
0.000 0.000 22.994
ATOMIC_POSITIONS crystal
Al 0.000 0.000 0.238
Al 0.000 0.000 0.762
Al 0.333 0.667 0.429
Al 0.333 0.667 0.904
Al 0.667 0.333 0.096
Al 0.667 0.333 0.571
Rh 0.000 0.000 0.500
Rh 0.333 0.667 0.167
Rh 0.667 0.333 0.833
Br 0.000 0.000 0.000
Br 0.333 0.667 0.667
Br 0.667 0.333 0.333
```

Calculated values
* mass density: 5.5 g/cm3
* uncorrected formation energy: -0.451 eV/atom
* SG: R-3m, No. 166
* spin magnetization: 0.000 μB per atom
* total energy: -4.579 eV per atom
* E above lowest polymorph: 0.25 eV per formula unit

---

(4)
Crystalline Tb4Pm8Y at its relaxed geometry. Source: Alexandria via LeMat-Bulk, functional PBE. Values from VASP.

Quantum ESPRESSO input file:
```
&SYSTEM
  ibrav = 0, nat = 13, ntyp = 3
/
ATOMIC_SPECIES
Tb 158.93 Tb.upf
Pm 145.00 Pm.upf
Y 88.91 Y.upf
CELL_PARAMETERS angstrom
3.662 2.114 9.513
-3.662 2.114 9.513
0.000 -4.229 9.513
ATOMIC_POSITIONS crystal
Tb 0.000 0.000 0.000
Tb 0.000 0.500 0.500
Tb 0.500 0.000 0.500
Tb 0.500 0.500 0.000
Pm 0.201 0.752 0.752
Pm 0.213 0.213 0.213
Pm 0.248 0.248 0.799
Pm 0.248 0.799 0.248
Pm 0.752 0.201 0.752
Pm 0.752 0.752 0.201
Pm 0.787 0.787 0.787
Pm 0.799 0.248 0.248
Y 0.500 0.500 0.500
```

Calculated values
* mass density: 7.1 g/cm3
* ΔE_f: 0.20 eV/atom
* SG: R-3m, No. 166
* spin magnetization: 0.000 μB per atom
* total energy: -4.650 eV per atom

---

(5)
Crystalline CrFeSiIr at its relaxed geometry. Source: Alexandria via LeMat-Bulk, functional PBE. Values from VASP.

Quantum ESPRESSO input file:
```
&SYSTEM
  ibrav = 0, nat = 16, ntyp = 4
/
ATOMIC_SPECIES
Cr 52.00 Cr.upf
Fe 55.84 Fe.upf
Si 28.09 Si.upf
Ir 192.22 Ir.upf
CELL_PARAMETERS angstrom
5.835 0.000 0.000
0.000 5.835 0.000
0.000 0.000 5.835
ATOMIC_POSITIONS crystal
Cr 0.000 0.000 0.000
Cr 0.000 0.500 0.500
Cr 0.500 0.000 0.500
Cr 0.500 0.500 0.000
Fe 0.250 0.250 0.750
Fe 0.250 0.750 0.250
Fe 0.750 0.250 0.250
Fe 0.750 0.750 0.750
Si 0.000 0.000 0.500
Si 0.000 0.500 0.000
Si 0.500 0.000 0.000
Si 0.500 0.500 0.500
Ir 0.250 0.250 0.250
Ir 0.250 0.750 0.750
Ir 0.750 0.250 0.750
Ir 0.750 0.750 0.250
```

Calculated values
* mass density: 11.0 g/cm3
* uncorrected formation energy: -0.261 eV/atom
* SG: F-43m, No. 216
* spin magnetization: 0.752 μB per atom
* total energy: -8.354 eV per atom

---

(6)
Crystalline Li5GePb4 at its relaxed geometry. Source: Alexandria via LeMat-Bulk, functional PBE. Values from VASP.

Quantum ESPRESSO input file:
```
&SYSTEM
  ibrav = 0, nat = 10, ntyp = 3
/
ATOMIC_SPECIES
Li 6.94 Li.upf
Ge 72.64 Ge.upf
Pb 207.20 Pb.upf
CELL_PARAMETERS angstrom
3.494 0.000 0.000
0.000 3.494 0.000
0.000 0.000 17.477
ATOMIC_POSITIONS crystal
Li 0.000 0.000 0.000
Li 0.000 0.000 0.211
Li 0.000 0.000 0.421
Li 0.000 0.000 0.579
Li 0.000 0.000 0.789
Ge 0.500 0.500 0.500
Pb 0.500 0.500 0.105
Pb 0.500 0.500 0.315
Pb 0.500 0.500 0.685
Pb 0.500 0.500 0.895
```

Calculated values
* mass density: 7.3 g/cm3
* ΔE_f: -0.24 eV/atom
* SG: P4/mmm, No. 123
* spin magnetization: 0.000 μB per atom
* total energy: -3.145 eV per atom

---

(7)
Crystalline HfZrZnIn at its relaxed geometry. Source: Alexandria via LeMat-Bulk, functional PBE. Values from VASP.

Quantum ESPRESSO input file:
```
&SYSTEM
  ibrav = 0, nat = 4, ntyp = 4
/
ATOMIC_SPECIES
Hf 178.49 Hf.upf
Zr 91.22 Zr.upf
Zn 65.41 Zn.upf
In 114.82 In.upf
CELL_PARAMETERS angstrom
3.054 0.000 0.000
0.000 3.054 0.000
0.000 0.000 8.636
ATOMIC_POSITIONS crystal
Hf 0.000 0.000 0.000
Zr 0.000 0.000 0.547
Zn 0.500 0.500 0.777
In 0.500 0.500 0.272
```

Calculated values
* mass density: 9.3 g/cm3
* ΔE_f: -0.21 eV/atom
* SG: P4mm, No. 99
* spin magnetization: 0.000 μB per atom
* total energy: -5.843 eV per atom

---

(8)
Crystalline NiAg2SbS at its relaxed geometry. Source: Alexandria via LeMat-Bulk, functional PBE. Values from VASP.

Quantum ESPRESSO input file:
```
&SYSTEM
  ibrav = 0, nat = 5, ntyp = 4
/
ATOMIC_SPECIES
Ni 58.69 Ni.upf
Ag 107.87 Ag.upf
Sb 121.76 Sb.upf
S 32.06 S.upf
CELL_PARAMETERS angstrom
5.167 0.000 0.000
0.000 5.167 0.000
0.000 0.000 5.218
ATOMIC_POSITIONS crystal
Ni 0.000 0.000 0.000
Ag 0.000 0.500 0.500
Ag 0.500 0.000 0.500
Sb 0.500 0.500 0.500
S 0.500 0.500 0.000
```

Calculated values
* mass density: 5.1 g/cm3
* uncorrected formation energy: 1.083 eV/atom
* SG: P4/mmm, No. 123
* spin magnetization: 0.041 μB per atom
* total energy: -2.863 eV per atom

---

(9)
Crystalline CeMg6Ni at its relaxed geometry. Source: Alexandria via LeMat-Bulk, functional PBE. Values from VASP.

Quantum ESPRESSO input file:
```
&SYSTEM
  ibrav = 0, nat = 16, ntyp = 3
/
ATOMIC_SPECIES
Ce 140.12 Ce.upf
Mg 24.30 Mg.upf
Ni 58.69 Ni.upf
CELL_PARAMETERS angstrom
4.710 0.000 0.000
0.000 6.132 0.000
0.000 0.000 12.472
ATOMIC_POSITIONS crystal
Ce 0.000 0.000 0.000
Ce 0.000 0.500 0.500
Mg 0.000 0.000 0.432
Mg 0.000 0.250 0.217
Mg 0.000 0.250 0.717
Mg 0.000 0.500 0.932
Mg 0.000 0.750 0.217
Mg 0.000 0.750 0.717
Mg 0.500 0.000 0.593
Mg 0.500 0.248 0.847
Mg 0.500 0.252 0.347
Mg 0.500 0.500 0.093
Mg 0.500 0.748 0.347
Mg 0.500 0.752 0.847
Ni 0.500 0.000 0.153
Ni 0.500 0.500 0.653
```

Calculated values
* mass density: 3.2 g/cm3
* ΔE_f: 0.07 eV/atom
* SG: Amm2, No. 38
* spin magnetization: 0.123 μB per atom
* total energy: -2.586 eV per atom
* E above lowest polymorph: 0.14 eV per formula unit

---

(10)
Crystalline TmTh4 at its relaxed geometry. Source: Alexandria via LeMat-Bulk, functional PBE. Values from VASP.

Quantum ESPRESSO input file:
```
&SYSTEM
  ibrav = 0, nat = 10, ntyp = 2
/
ATOMIC_SPECIES
Tm 168.93 Tm.upf
Th 232.04 Th.upf
CELL_PARAMETERS angstrom
3.563 0.000 0.000
0.000 3.563 0.000
0.000 0.000 25.137
ATOMIC_POSITIONS crystal
Tm 0.000 0.000 0.000
Tm 0.500 0.500 0.500
Th 0.000 0.000 0.200
Th 0.000 0.000 0.400
Th 0.000 0.000 0.600
Th 0.000 0.000 0.800
Th 0.500 0.500 0.100
Th 0.500 0.500 0.300
Th 0.500 0.500 0.700
Th 0.500 0.500 0.900
```

Calculated values
* mass density: 11.4 g/cm3
* ΔE_f: 0.02 eV/atom
* SG: I4/mmm, No. 139
* spin magnetization: 0.000 μB per atom
* total energy: -6.806 eV per atom
* E above lowest polymorph: 0.03 eV per formula unit

---

(11)
Crystalline CrMo2Se4S2 at its relaxed geometry. Source: Alexandria via LeMat-Bulk, functional PBE. Values from VASP.

Quantum ESPRESSO input file:
```
&SYSTEM
  ibrav = 0, nat = 9, ntyp = 4
/
ATOMIC_SPECIES
Cr 52.00 Cr.upf
Mo 95.94 Mo.upf
Se 78.96 Se.upf
S 32.06 S.upf
CELL_PARAMETERS angstrom
3.241 0.000 0.000
-1.620 2.807 0.000
0.000 0.000 21.686
ATOMIC_POSITIONS crystal
Cr 0.000 0.000 0.000
Mo 0.000 0.000 0.655
Mo 0.667 0.333 0.319
Se 0.000 0.000 0.240
Se 0.000 0.000 0.397
Se 0.667 0.333 0.576
Se 0.667 0.333 0.733
S 0.667 0.333 0.066
S 0.667 0.333 0.934
```

Calculated values
* mass density: 5.3 g/cm3
* uncorrected formation energy: -0.638 eV/atom
* SG: P3m1, No. 156
* spin magnetization: 0.000 μB per atom
* total energy: -6.580 eV per atom

---

(12)
Crystalline Ca2NdSm at its relaxed geometry. Source: Alexandria via LeMat-Bulk, functional PBE. Values from VASP.

Quantum ESPRESSO input file:
```
&SYSTEM
  ibrav = 0, nat = 12, ntyp = 3
/
ATOMIC_SPECIES
Ca 40.08 Ca.upf
Nd 144.24 Nd.upf
Sm 150.36 Sm.upf
CELL_PARAMETERS angstrom
3.712 0.000 0.000
-1.856 3.215 0.000
0.000 0.000 37.228
ATOMIC_POSITIONS crystal
Ca 0.000 0.000 0.000
Ca 0.000 0.000 0.165
Ca 0.333 0.667 0.667
Ca 0.333 0.667 0.832
Ca 0.667 0.333 0.333
Ca 0.667 0.333 0.499
Nd 0.000 0.000 0.583
Nd 0.333 0.667 0.250
Nd 0.667 0.333 0.916
Sm 0.000 0.000 0.749
Sm 0.333 0.667 0.416
Sm 0.667 0.333 0.082
```

Calculated values
* mass density: 4.2 g/cm3
* ΔE_f: 0.10 eV/atom
* SG: R3m, No. 160
* spin magnetization: 0.057 μB per atom
* total energy: -3.277 eV per atom
* E above lowest polymorph: 0.23 eV per formula unit

---

DOS(E_F)
In order: 5.34 1.65 0.41 11.85 5.68 3.21 4.35 9.37 10.65 7.23 1.51 6.76
Unit: states/eV/f.u.